# 1
Entry from the Alexandria database: La5Pr6Er after structural relaxation (GGA-PBE).

formation energy from the elements = 0.014 eV/atom
volume = 36.072 Å³/atom
spin magnetization = 0.00 μB per atom
calculated total energy = -4.809 eV per atom

Cell and atoms, written as POSCAR:
```
La5Pr6Er
1.0
12.226 -1.399 0.000
1.842 6.154 0.000
0.921 3.077 5.562
Er Pr La
1 6 5
Direct
0.000 0.000 0.000 Er
0.248 0.918 0.669 Pr
0.752 0.413 0.669 Pr
0.248 0.587 0.331 Pr
0.248 0.250 0.000 Pr
0.752 0.750 0.000 Pr
0.752 0.082 0.331 Pr
0.500 0.500 0.000 La
0.500 0.166 0.667 La
0.500 0.834 0.333 La
0.000 0.333 0.334 La
0.000 0.667 0.666 La
```



# 2
Entry from the Alexandria database: Pr5Sb4S after structural relaxation (GGA-PBE).

formation energy from raw total energies = -13.21 eV per formula unit
volume = 31.855 Å³/atom
spin magnetization = 0.00 μB per atom
calculated total energy = -5.772 eV per atom
energy above the lowest structure with this stoichiometry = 17 meV per atom

Cell and atoms, written as POSCAR:
```
Pr5Sb4S
1.0
-1.968 2.051 3.477
-0.442 -3.955 2.083
15.314 2.957 4.022
Sb Pr S
4 5 1
Direct
0.599 0.599 0.197 Sb
0.198 0.198 0.395 Sb
0.401 0.401 0.803 Sb
0.802 0.802 0.605 Sb
0.700 0.700 0.401 Pr
0.500 0.500 0.000 Pr
0.094 0.094 0.189 Pr
0.906 0.906 0.811 Pr
0.300 0.300 0.599 Pr
0.000 0.000 0.000 S
```



# 3
Entry from the Alexandria database: ZrS2NCl after structural relaxation (GGA-PBE).

formation energy from raw total energies = 4.75 eV per formula unit
volume = 15.956 Å³/atom
spin magnetization = 0.00 μB per atom
calculated total energy = -4.445 eV per atom
energy above the lowest structure with this stoichiometry = 729 meV per atom

Cell and atoms, written as POSCAR:
```
ZrS2NCl
1.0
-2.119 1.977 -3.485
2.663 -2.251 -2.896
-2.565 -2.914 -0.093
S Zr N Cl
2 1 1 1
Direct
0.000 0.500 0.000 S
0.500 0.000 0.000 S
0.500 0.500 0.500 Zr
0.000 0.000 0.500 N
0.000 0.000 0.000 Cl
```



# 4
Entry from the Alexandria database: Ag2P after structural relaxation (GGA-PBE).

formation energy from the elements = 0.380 eV/atom
volume = 18.511 Å³/atom
spin magnetization = 0.00 μB per atom
calculated total energy = -3.324 eV per atom
energy above the lowest structure with this stoichiometry = 210 meV per atom

Cell and atoms, written as POSCAR:
```
Ag2P
1.0
-1.436 1.807 10.701
1.436 -1.807 10.701
1.436 1.807 -10.701
P Ag
2 4
Direct
0.372 0.622 0.750 P
0.628 0.378 0.250 P
0.942 0.192 0.750 Ag
0.199 0.949 0.250 Ag
0.801 0.051 0.750 Ag
0.058 0.808 0.250 Ag
```



# 5
Entry from the Alexandria database: Sc3RhCl after structural relaxation (GGA-PBE).

formation energy from raw total energies = -1.74 eV per formula unit
volume = 26.080 Å³/atom
spin magnetization = 0.00 μB per atom
calculated total energy = -5.987 eV per atom
energy above the lowest structure with this stoichiometry = 0 meV per atom

Cell and atoms, written as POSCAR:
```
Sc3RhCl
1.0
5.071 0.000 0.000
0.000 5.071 0.000
0.000 0.000 5.071
Cl Rh Sc
1 1 3
Direct
0.500 0.500 0.500 Cl
0.000 0.000 0.000 Rh
0.000 0.000 0.500 Sc
0.500 0.000 0.000 Sc
0.000 0.500 0.000 Sc
```



# 6
Entry from the Alexandria database: Sb4Br3O4 after structural relaxation (GGA-PBE).

formation energy from raw total energies = -6.43 eV per formula unit
volume = 20.713 Å³/atom
spin magnetization = 0.00 μB per atom
calculated total energy = -4.342 eV per atom

Cell and atoms, written as POSCAR:
```
Sb4Br3O4
1.0
3.401 0.000 0.000
0.000 9.205 0.000
-1.701 -4.602 7.278
O Sb Br
4 4 3
Direct
0.636 0.787 0.272 O
0.364 0.213 0.728 O
0.636 0.485 0.272 O
0.364 0.515 0.728 O
0.815 0.315 0.631 Sb
0.500 0.761 0.000 Sb
0.185 0.685 0.369 Sb
0.500 0.239 0.000 Sb
0.121 0.121 0.242 Br
0.000 0.500 0.000 Br
0.879 0.879 0.758 Br
```



# 7
Entry from the Alexandria database: SnGePb after structural relaxation (GGA-PBE).

formation energy from the elements = 0.131 eV/atom
volume = 27.970 Å³/atom
spin magnetization = 0.00 μB per atom
calculated total energy = -3.979 eV per atom
energy above the lowest structure with this stoichiometry = 0 meV per atom

Cell and atoms, written as POSCAR:
```
SnGePb
1.0
4.188 0.000 0.000
-2.094 3.627 0.000
0.000 0.000 5.523
Pb Sn Ge
1 1 1
Direct
0.000 0.000 0.027 Pb
0.333 0.667 0.608 Sn
0.667 0.333 0.365 Ge
```



# 8
Entry from the Alexandria database: ScH7Pd12 after structural relaxation (GGA-PBE).

volume = 11.062 Å³/atom
spin magnetization = 0.00 μB per atom
calculated total energy = -4.835 eV per atom

Cell and atoms, written as POSCAR:
```
ScH7Pd12
1.0
-0.302 -5.783 2.858
3.730 3.785 3.669
-5.952 2.504 0.053
H Pd Sc
7 12 1
Direct
0.969 0.616 0.839 H
0.031 0.384 0.161 H
0.384 0.161 0.031 H
0.839 0.969 0.616 H
0.500 0.500 0.500 H
0.161 0.031 0.384 H
0.616 0.839 0.969 H
0.618 0.538 0.846 Pd
0.154 0.382 0.462 Pd
0.765 0.923 0.299 Pd
0.846 0.618 0.538 Pd
0.462 0.154 0.382 Pd
0.299 0.765 0.923 Pd
0.701 0.235 0.077 Pd
0.923 0.299 0.765 Pd
0.538 0.846 0.618 Pd
0.077 0.701 0.235 Pd
0.235 0.077 0.701 Pd
0.382 0.462 0.154 Pd
0.000 0.000 0.000 Sc
```



# 9
Entry from the Alexandria database: NiGeP3 after structural relaxation (GGA-PBE).

formation energy from the elements = 0.652 eV/atom
volume = 17.439 Å³/atom
spin magnetization = 0.00 μB per atom
calculated total energy = -4.674 eV per atom
energy above the lowest structure with this stoichiometry = 850 meV per atom

Cell and atoms, written as POSCAR:
```
NiGeP3
1.0
4.434 0.000 0.000
0.000 4.434 0.000
0.000 0.000 4.434
Ni P Ge
1 3 1
Direct
0.000 0.000 0.000 Ni
0.000 0.000 0.500 P
0.500 0.000 0.000 P
0.000 0.500 0.000 P
0.500 0.500 0.500 Ge
```



# 10
Entry from the Alexandria database: Pr15HoEr4 after structural relaxation (GGA-PBE).

formation energy from the elements = 0.009 eV/atom
volume = 34.701 Å³/atom
spin magnetization = 0.00 μB per atom
calculated total energy = -4.717 eV per atom

Cell and atoms, written as POSCAR:
```
Pr15HoEr4
1.0
-0.347 -2.461 4.552
5.071 0.748 0.791
-5.132 22.408 11.723
Pr Ho Er
15 1 4
Direct
0.000 0.500 0.900 Pr
0.000 0.500 0.300 Pr
0.500 0.000 0.700 Pr
0.500 0.500 0.000 Pr
0.000 0.500 0.500 Pr
0.000 0.500 0.700 Pr
0.500 0.000 0.300 Pr
0.500 0.000 0.900 Pr
0.000 0.500 0.100 Pr
0.500 0.000 0.500 Pr
0.500 0.000 0.100 Pr
0.500 0.500 0.200 Pr
0.500 0.500 0.600 Pr
0.500 0.500 0.400 Pr
0.500 0.500 0.800 Pr
0.000 0.000 0.000 Ho
0.000 0.000 0.800 Er
0.000 0.000 0.600 Er
0.000 0.000 0.400 Er
0.000 0.000 0.200 Er
```



# 11
Entry from the Alexandria database: NdDy3YHo after structural relaxation (GGA-PBE).

formation energy from the elements = 0.000 eV/atom
volume = 32.211 Å³/atom
spin magnetization = 0.00 μB per atom
calculated total energy = -4.936 eV per atom

Cell and atoms, written as POSCAR:
```
NdDy3YHo
1.0
-1.154 3.241 -1.065
-0.723 -3.207 -8.978
-10.287 -1.736 5.866
Dy Y Nd Ho
6 2 2 2
Direct
0.250 0.567 0.402 Dy
0.750 0.931 0.095 Dy
0.750 0.319 0.152 Dy
0.250 0.069 0.905 Dy
0.750 0.433 0.598 Dy
0.250 0.681 0.848 Dy
0.750 0.817 0.655 Y
0.250 0.183 0.345 Y
0.750 0.872 0.372 Nd
0.250 0.128 0.628 Nd
0.750 0.377 0.878 Ho
0.250 0.623 0.122 Ho
```



# 12
Entry from the Alexandria database: Li2CoRuPt after structural relaxation (GGA-PBE).

formation energy from the elements = 0.910 eV/atom
volume = 18.416 Å³/atom
spin magnetization = 0.60 μB per atom
calculated total energy = -4.340 eV per atom

Cell and atoms, written as POSCAR:
```
Li2CoRuPt
1.0
4.357 0.000 0.000
0.000 4.850 0.000
0.000 0.000 4.357
Co Ru Pt Li
1 1 1 2
Direct
0.500 0.500 0.500 Co
0.000 0.500 0.000 Ru
0.000 0.000 0.000 Pt
0.000 0.000 0.500 Li
0.500 0.000 0.000 Li
```